First-principles (meta-GGA SCAN) data for a crystal of YZrTe2 relaxed with PBEsol, as listed in Alexandria.

a = 8.2088 Å, b = 8.2088 Å, c = 8.2088 Å
α = 133.44°, β = 133.44°, γ = 67.97°
Closest atoms and distances in Å follow each position.
Sites, in units of the cell vectors:
Y: 0.0000 0.0000 0.0000  4 Te 2.93
Y: 0.7500 0.2500 0.5000  4 Te 2.93
Zr: 0.2500 0.7500 0.5000  4 Te 2.79
Zr: 0.5000 0.5000 0.0000  4 Te 2.79
Te: 0.1446 0.6250 0.0196  2 Zr 2.79, 2 Y 2.93
Te: 0.3750 0.3946 0.5196  2 Zr 2.79, 2 Y 2.93
Te: 0.6054 0.1250 0.9804  2 Zr 2.79, 2 Y 2.93
Te: 0.8750 0.8554 0.4804  2 Zr 2.79, 2 Y 2.93

* SG: I-42d
* energy relative to the elements, uncorrected: -0.5713 eV per atom
* E: -270.66 eV/cell
* spin magnetization: 3.2 Bohr magnetons per cell
* crystal system: tetragonal
* relative energy among the computed polymorphs: 559 meV/atom